Below is crystalline SiAs2NF at its relaxed geometry, with properties calculated at the PBE level.

Lattice parameters (Å, degrees): 4.3582 4.3582 3.7426 90.00 90.00 90.00
Fractional positions:
Si1 0.0000 0.0000 0.0000
As1 0.0000 0.5000 0.5000
As2 0.5000 0.0000 0.5000
N1 0.5000 0.5000 0.5000
F1 0.5000 0.5000 0.0000

Spin magnetization   0.00 μB per cell
Total energy   -4.42 eV per atom
ΔE_f (raw)   273 kJ/mol of formula units
Fermi-level density of states   0.427 states/eV/atom
Crystal system   tetragonal